(1)
Below is an optimized crystal structure of AcNi2Ru, with properties calculated at the PBE level.

Output
**ΔH_f (0 K)**: -0.56 eV/f.u.
**Magnetic moment**: 2.01 μB per cell
**Total energy**: -6.38 eV/atom

Lattice parameters (Å, degrees): 4.2389 4.2389 15.2445 90.00 90.00 120.00
Space group R-3m (No. 166, hexagonal axes)
Unique sites:
1 Ac 0.0000 0.0000 0.0000 x3
2 Ni 0.0000 0.0000 0.1903 x6
3 Ru 0.0000 0.0000 0.5000 x3

***

(2)
Below is an optimized crystal structure of Ir2PtAu, with properties calculated at the PBE level.

Output
**ΔH_f (0 K)**: 0.99 eV/f.u.
**Distance to the lowest polymorph of the same formula**: 13.3 kJ per mole of atoms
**Magnetic moment**: 0.00 μB per cell
**Total energy**: -6.51 eV/atom

Lattice parameters (Å, degrees): 9.2809 2.8027 4.8740 90.00 100.25 90.00
Space group C2/m (No. 12)
Unique sites:
1 Ir 0.2445 0.0000 0.2415 x4
2 Pt 0.0000 0.5000 0.0000 x2
3 Au 0.0000 0.0000 0.5000 x2

***

Please write out number 1 again, unchanged.
Below is an optimized crystal structure of AcNi2Ru, with properties calculated at the PBE level.

Output
**ΔH_f (0 K)**: -0.56 eV/f.u.
**Magnetic moment**: 2.01 μB per cell
**Total energy**: -6.38 eV/atom

Lattice parameters (Å, degrees): 4.2389 4.2389 15.2445 90.00 90.00 120.00
Space group R-3m (No. 166, hexagonal axes)
Unique sites:
1 Ac 0.0000 0.0000 0.0000 x3
2 Ni 0.0000 0.0000 0.1903 x6
3 Ru 0.0000 0.0000 0.5000 x3

***

What is the total energy in the first record?
-6.38 eV/atom

***

Look up the total energy of the second one.
-6.51 eV/atom

***

Which of these has the highest magnetic moment?
AcNi2Ru